Entry 1:
The following is a meta-GGA SCAN calculation of a crystal of ZnC2 relaxed with PBEsol, from Alexandria via LeMat-Bulk.

Results
polymorph energy (0 for the lowest one): 15.38 kcal/mol of atoms
energy of formation: 1.557 eV per atom

a b c (Å): 10.802 10.802 2.519
angles (deg): 90.00 90.00 166.59
Element x y z (fractional)
Zn  0.153  0.847  0.750
Zn  0.847  0.153  0.250
C  0.250  0.750  0.250
C  0.496  0.504  0.250
C  0.504  0.496  0.750
C  0.750  0.250  0.750

Entry 2:
The following is a meta-GGA SCAN calculation of a crystal of Zr3ZnC relaxed with PBEsol, from Alexandria via LeMat-Bulk.

Results
energy of formation: -0.515 eV per atom

a b c (Å): 4.472 4.472 4.472
angles (deg): 90.00 90.00 90.00
Element x y z (fractional)
Zr  0.000  0.000  0.500
Zr  0.000  0.500  0.000
Zr  0.500  0.000  0.000
Zn  0.500  0.500  0.500
C  0.000  0.000  0.000

Entry 3:
The following is a meta-GGA SCAN calculation of a crystal of Zr2C relaxed with PBEsol, from Alexandria via LeMat-Bulk.

Results
energy of formation: -0.563 eV per atom

a b c (Å): 3.307 3.307 4.530
angles (deg): 90.00 90.00 90.00
Element x y z (fractional)
Zr  0.000  0.000  0.000
Zr  0.500  0.500  0.500
C  0.000  0.000  0.500

Entry 4:
The following is a meta-GGA SCAN calculation of a crystal of Zr3C2 relaxed with PBEsol, from Alexandria via LeMat-Bulk.

Results
polymorph energy (0 for the lowest one): 0.00 kcal/mol of atoms
energy of formation: -0.845 eV per atom

a b c (Å): 8.269 8.269 8.269
angles (deg): 23.11 23.11 23.11
Element x y z (fractional)
Zr  0.000  0.000  0.000
Zr  0.227  0.227  0.227
Zr  0.773  0.773  0.773
C  0.391  0.391  0.391
C  0.609  0.609  0.609

What did we get for DOS(E_F)? Answer: 1.02; 2.08; 2.48; 1.54 states/eV/f.u., in the order shown.
What did we get for calculated volume? Answer: 68.16; 89.44; 49.55; 76.44 Å³/cell, in the order shown.
What did we get for ρ? Answer: 4.4; 6.5; 6.5; 6.5 g cm⁻³, in the order shown.